# 1
Computed, not measured: crystalline LuNbCd at its relaxed geometry at the PBE-GGA level of DFT.

Unit cell a=6.840 b=6.840 c=6.840 alpha=90.00 beta=90.00 gamma=90.00
Space group F-43m (No. 216)
Symmetry-distinct sites (fractional):
Lu  0.000  0.000  0.000 (multiplicity 4)
Nb  0.250  0.250  0.250 (multiplicity 4)
Cd  0.250  0.250  0.750 (multiplicity 4)

Computed properties:
Its magnetic moment is 11.44 Bohr magnetons per cell. The calculation puts the calculated formation energy at 1.029 eV/atom. For the excess energy over the best structure of this formula in the dataset, the calculation gives 161 meV/atom.


# 2
Computed, not measured: crystalline Hf3Ni4Sb4 at its relaxed geometry at the PBE-GGA level of DFT.

Unit cell a=6.768 b=4.143 c=7.408 alpha=90.00 beta=93.06 gamma=90.00
Space group Pm (No. 6)
Symmetry-distinct sites (fractional):
Hf  0.000  0.000  0.000 (multiplicity 1)
Hf  0.036  0.500  0.403 (multiplicity 1)
Hf  0.531  0.000  0.933 (multiplicity 1)
Ni  0.137  0.500  0.769 (multiplicity 1)
Ni  0.319  0.000  0.279 (multiplicity 1)
Ni  0.761  0.500  0.119 (multiplicity 1)
Ni  0.910  0.000  0.635 (multiplicity 1)
Sb  0.289  0.000  0.608 (multiplicity 1)
Sb  0.301  0.500  0.094 (multiplicity 1)
Sb  0.712  0.000  0.321 (multiplicity 1)
Sb  0.753  0.500  0.762 (multiplicity 1)

Computed properties:
Its magnetic moment is 0.00 Bohr magnetons per cell. For the excess energy over the best structure of this formula in the dataset, the calculation gives 120 meV/atom.


# 3
Computed, not measured: crystalline LaEr at its relaxed geometry at the PBE-GGA level of DFT.

Unit cell a=6.571 b=6.571 c=6.571 alpha=90.00 beta=90.00 gamma=90.00
Space group Fm-3m (No. 225)
Symmetry-distinct sites (fractional):
La  0.000  0.000  0.000 (multiplicity 4)
Er  0.000  0.000  0.500 (multiplicity 4)

Computed properties:
Its magnetic moment is 0.31 Bohr magnetons per cell. The calculation puts the calculated formation energy at 0.654 eV/atom. For the excess energy over the best structure of this formula in the dataset, the calculation gives 601 meV/atom.


What is the formula in the third record?
LaEr


The lowest excess energy over the best structure of this formula in the dataset belongs to which entry?
Hf3Ni4Sb4